Record 1
Compound: Ba8PdRh2
Source: Alexandria via LeMat-Bulk
Functional: GGA-PBE
Structure: optimized geometry

## Properties
Its polymorph energy (0 for the lowest one) is 1.49 eV/f.u. The density of states at the Fermi level comes out at 14.26 states/eV per cell. Its crystal system is monoclinic. For the volume, the calculation gives 1120.7 Å³/cell.

Geometry as CIF:
```
data_Ba8PdRh2
_cell_length_a 15.988
_cell_length_b 9.237
_cell_length_c 7.588
_cell_angle_alpha 90.00
_cell_angle_beta 90.08
_cell_angle_gamma 90.00
_space_group_name_H-M_alt 'C 1 2/m 1'
_space_group_IT_number 12
loop_
_space_group_symop_operation_xyz
'x,y,z'
'-x,-y,-z'
'-x,y,-z'
'x,-y,z'
'x+1/2,y+1/2,z'
'-x+1/2,-y+1/2,-z'
'-x+1/2,y+1/2,-z'
'x+1/2,-y+1/2,z'
loop_
_atom_site_label
_atom_site_fract_x
_atom_site_fract_y
_atom_site_fract_z
Ba1 0.083 0.249 0.267
Ba2 0.166 0.000 0.734
Ba3 0.166 0.500 0.794
Pd1 0.000 0.000 0.500
Rh1 0.167 0.500 0.422
```


Record 2
Compound: PmSm3Tm8
Source: Alexandria via LeMat-Bulk
Functional: GGA-PBE
Structure: optimized geometry

## Properties
Its total energy is -4.49 eV/atom. The density of states at the Fermi level comes out at 41.03 states/eV per cell. Its crystal system is monoclinic. For the volume, the calculation gives 757.6 Å³/cell.

Geometry as CIF:
```
data_PmSm3Tm8
_cell_length_a 10.979
_cell_length_b 10.906
_cell_length_c 6.775
_cell_angle_alpha 90.00
_cell_angle_beta 110.95
_cell_angle_gamma 90.00
_space_group_name_H-M_alt 'C 1 m 1'
_space_group_IT_number 8
loop_
_space_group_symop_operation_xyz
'x,y,z'
'x,-y,z'
'x+1/2,y+1/2,z'
'x+1/2,-y+1/2,z'
loop_
_atom_site_label
_atom_site_fract_x
_atom_site_fract_y
_atom_site_fract_z
Pm1 0.000 0.000 0.000
Sm1 0.379 0.280 0.605
Sm2 0.428 0.000 0.887
Tm1 0.048 0.279 0.274
Tm2 0.098 0.000 0.556
Tm3 0.161 0.500 0.661
Tm4 0.215 0.226 0.944
Tm5 0.263 0.500 0.218
Tm6 0.331 0.000 0.325
```


Record 3
Compound: MgSi2Pt
Source: Alexandria via LeMat-Bulk
Functional: GGA-PBE
Structure: optimized geometry

## Properties
The density of states at the Fermi level comes out at 1.26 states/eV per cell. Its formation energy from raw total energies is -0.356 eV per atom. Its crystal system is orthorhombic. For the volume, the calculation gives 71.8 Å³/cell.

Geometry as CIF:
```
data_MgSi2Pt
_cell_length_a 3.672
_cell_length_b 4.127
_cell_length_c 4.738
_cell_angle_alpha 90.00
_cell_angle_beta 90.00
_cell_angle_gamma 90.00
_space_group_name_H-M_alt 'P m m m'
_space_group_IT_number 47
loop_
_space_group_symop_operation_xyz
'x,y,z'
'-x,-y,-z'
'-x,-y,z'
'x,y,-z'
'x,-y,-z'
'-x,y,z'
'-x,y,-z'
'x,-y,z'
loop_
_atom_site_label
_atom_site_fract_x
_atom_site_fract_y
_atom_site_fract_z
Mg1 0.000 0.000 0.000
Si1 0.500 0.500 0.237
Pt1 0.500 0.000 0.500
```


Record 4
Compound: Ho2ErTm3S6
Source: Alexandria via LeMat-Bulk
Functional: GGA-PBE
Structure: optimized geometry

## Properties
The density of states at the Fermi level comes out at 10.25 states/eV per cell. Its formation energy from raw total energies is -1.949 eV per atom. Its crystal system is monoclinic. For the volume, the calculation gives 487.4 Å³/cell.

Geometry as CIF:
```
data_Ho2ErTm3S6
_cell_length_a 16.807
_cell_length_b 3.851
_cell_length_c 7.745
_cell_angle_alpha 90.00
_cell_angle_beta 103.53
_cell_angle_gamma 90.00
_space_group_name_H-M_alt 'C 1 2/m 1'
_space_group_IT_number 12
loop_
_space_group_symop_operation_xyz
'x,y,z'
'-x,-y,-z'
'-x,y,-z'
'x,-y,z'
'x+1/2,y+1/2,z'
'-x+1/2,-y+1/2,-z'
'-x+1/2,y+1/2,-z'
'x+1/2,-y+1/2,z'
loop_
_atom_site_label
_atom_site_fract_x
_atom_site_fract_y
_atom_site_fract_z
Ho1 0.167 0.000 0.334
Er1 0.000 0.500 0.000
Tm1 0.000 0.500 0.500
Tm2 0.167 0.000 0.833
S1 0.001 0.000 0.749
S2 0.166 0.500 0.586
S3 0.167 0.500 0.081
```


Record 5
Compound: NpTaAs2
Source: Alexandria via LeMat-Bulk
Functional: GGA-PBE
Structure: optimized geometry

## Properties
Its polymorph energy (0 for the lowest one) is 0.00 eV/f.u. The density of states at the Fermi level comes out at 20.79 states/eV per cell. Its crystal system is trigonal. For the volume, the calculation gives 251.1 Å³/cell.

Geometry as CIF:
```
data_NpTaAs2
_cell_length_a 3.6985
_cell_length_b 3.6985
_cell_length_c 21.1933
_cell_angle_alpha 90.00
_cell_angle_beta 90.00
_cell_angle_gamma 120.00
_space_group_name_H-M_alt 'R 3 m'
_space_group_IT_number 160
_space_group_name_Hall 'R 3 -2"'
loop_
_atom_site_label
_atom_site_fract_x
_atom_site_fract_y
_atom_site_fract_z
Np1 0.0000 0.0000 0.0000
Ta1 0.0000 0.0000 0.1731
As1 0.0000 0.0000 0.4301
As2 0.0000 0.0000 0.5778
```


Record 6
Compound: NbIr6Rh8
Source: Alexandria via LeMat-Bulk
Functional: GGA-PBE
Structure: optimized geometry

## Properties
Its total energy is -7.91 eV/atom. The density of states at the Fermi level comes out at 64.74 states/eV per cell. Its crystal system is trigonal. For the volume, the calculation gives 712.9 Å³/cell.

Geometry as CIF:
```
data_NbIr6Rh8
_cell_length_a 7.2243
_cell_length_b 7.2243
_cell_length_c 15.7720
_cell_angle_alpha 90.00
_cell_angle_beta 90.00
_cell_angle_gamma 120.00
_space_group_name_H-M_alt 'R -3'
_space_group_IT_number 148
_space_group_name_Hall '-R 3'
loop_
_atom_site_label
_atom_site_fract_x
_atom_site_fract_y
_atom_site_fract_z
Nb1 0.0000 0.0000 0.0000
Ir1 0.0069 0.7173 0.6284
Rh1 0.0000 0.0000 0.2572
Rh2 0.0117 0.7050 0.1312
```


Record 7
Compound: Nd2AlB2Ru5
Source: Alexandria via LeMat-Bulk
Functional: GGA-PBE
Structure: optimized geometry

## Properties
Its total energy is -7.64 eV/atom. The density of states at the Fermi level comes out at 19.44 states/eV per cell. Its crystal system is tetragonal. For the volume, the calculation gives 298.7 Å³/cell.

Geometry as CIF:
```
data_Nd2AlB2Ru5
_cell_length_a 9.730
_cell_length_b 9.730
_cell_length_c 3.155
_cell_angle_alpha 90.00
_cell_angle_beta 90.00
_cell_angle_gamma 90.00
_space_group_name_H-M_alt 'P 4/m b m'
_space_group_IT_number 127
_space_group_name_Hall '-P 4 2ab'
loop_
_atom_site_label
_atom_site_fract_x
_atom_site_fract_y
_atom_site_fract_z
Nd1 0.177 0.323 0.000
Al1 0.000 0.000 0.000
B1 0.123 0.623 0.000
Ru1 0.000 0.500 0.500
Ru2 0.068 0.780 0.500
```


Record 8
Compound: Pm2NdDy5Sc
Source: Alexandria via LeMat-Bulk
Functional: GGA-PBE
Structure: optimized geometry

## Properties
Its total energy is -4.69 eV/atom. The density of states at the Fermi level comes out at 50.77 states/eV per cell. Its crystal system is orthorhombic. For the volume, the calculation gives 1158.9 Å³/cell.

Geometry as CIF:
```
data_Pm2NdDy5Sc
_cell_length_a 5.603
_cell_length_b 19.778
_cell_length_c 10.459
_cell_angle_alpha 90.00
_cell_angle_beta 90.00
_cell_angle_gamma 90.00
_space_group_name_H-M_alt 'C m c 21'
_space_group_IT_number 36
loop_
_space_group_symop_operation_xyz
'x,y,z'
'-x,-y,z+1/2'
'-x,y,z'
'x,-y,z+1/2'
'x+1/2,y+1/2,z'
'-x+1/2,-y+1/2,z+1/2'
'-x+1/2,y+1/2,z'
'x+1/2,-y+1/2,z+1/2'
loop_
_atom_site_label
_atom_site_fract_x
_atom_site_fract_y
_atom_site_fract_z
Pm1 0.000 0.112 0.000
Pm2 0.000 0.115 0.419
Nd1 0.000 0.413 0.142
Dy1 0.000 0.018 0.704
Dy2 0.000 0.277 0.008
Dy3 0.000 0.297 0.389
Dy4 0.000 0.374 0.704
Dy5 0.000 0.482 0.425
Sc1 0.000 0.196 0.700
```


Record 9
Compound: Tl2VGeCl6
Source: Alexandria via LeMat-Bulk
Functional: GGA-PBE
Structure: optimized geometry

## Properties
Its formation energy from raw total energies is -0.955 eV per atom. Its crystal system is cubic. For the volume, the calculation gives 1069.9 Å³/cell.

Geometry as CIF:
```
data_Tl2VGeCl6
_cell_length_a 10.228
_cell_length_b 10.228
_cell_length_c 10.228
_cell_angle_alpha 90.00
_cell_angle_beta 90.00
_cell_angle_gamma 90.00
_space_group_name_H-M_alt 'F m -3 m'
_space_group_IT_number 225
_space_group_name_Hall '-F 4 2 3'
loop_
_atom_site_label
_atom_site_fract_x
_atom_site_fract_y
_atom_site_fract_z
Tl1 0.250 0.250 0.250
V1 0.000 0.000 0.000
Ge1 0.000 0.000 0.500
Cl1 0.000 0.000 0.242
```


Record 10
Compound: Er3Ga4Ni8
Source: Alexandria via LeMat-Bulk
Functional: GGA-PBE
Structure: optimized geometry

## Properties
Its total energy is -5.33 eV/atom. The density of states at the Fermi level comes out at 56.97 states/eV per cell. Its crystal system is cubic. For the volume, the calculation gives 1775.3 Å³/cell.

Geometry as CIF:
```
data_Er3Ga4Ni8
_cell_length_a 12.108
_cell_length_b 12.108
_cell_length_c 12.108
_cell_angle_alpha 90.00
_cell_angle_beta 90.00
_cell_angle_gamma 90.00
_space_group_name_H-M_alt 'F m -3 m'
_space_group_IT_number 225
_space_group_name_Hall '-F 4 2 3'
loop_
_atom_site_label
_atom_site_fract_x
_atom_site_fract_y
_atom_site_fract_z
Er1 0.000 0.000 0.230
Ga1 0.000 0.000 0.000
Ga2 0.000 0.000 0.500
Ga3 0.000 0.250 0.250
Ni1 0.125 0.125 0.375
Ni2 0.174 0.174 0.174
```


Record 11
Compound: Ca12HgBi4N3
Source: Alexandria via LeMat-Bulk
Functional: GGA-PBE
Structure: optimized geometry

## Properties
The density of states at the Fermi level comes out at 14.10 states/eV per cell. Its formation energy from raw total energies is -0.802 eV per atom. Its crystal system is cubic. For the volume, the calculation gives 1077.5 Å³/cell.

Geometry as CIF:
```
data_Ca12HgBi4N3
_cell_length_a 10.252
_cell_length_b 10.252
_cell_length_c 10.252
_cell_angle_alpha 90.00
_cell_angle_beta 90.00
_cell_angle_gamma 90.00
_space_group_name_H-M_alt 'I m -3 m'
_space_group_IT_number 229
_space_group_name_Hall '-I 4 2 3'
loop_
_atom_site_label
_atom_site_fract_x
_atom_site_fract_y
_atom_site_fract_z
Ca1 0.000 0.000 0.277
Ca2 0.000 0.250 0.500
Hg1 0.000 0.000 0.000
Bi1 0.250 0.250 0.250
N1 0.000 0.000 0.500
```


Record 12
Compound: Ca2TaSi4Ir3
Source: Alexandria via LeMat-Bulk
Functional: GGA-PBE
Structure: optimized geometry

## Properties
The density of states at the Fermi level comes out at 5.94 states/eV per cell. Its formation energy from raw total energies is -0.714 eV per atom. Its crystal system is tetragonal. For the volume, the calculation gives 177.0 Å³/cell.

Geometry as CIF:
```
data_Ca2TaSi4Ir3
_cell_length_a 4.073
_cell_length_b 4.073
_cell_length_c 10.669
_cell_angle_alpha 90.00
_cell_angle_beta 90.00
_cell_angle_gamma 90.00
_space_group_name_H-M_alt 'P -4 m 2'
_space_group_IT_number 115
loop_
_space_group_symop_operation_xyz
'x,y,z'
'y,-x,-z'
'-x,-y,z'
'-y,x,-z'
'-x,y,z'
'-y,-x,-z'
'x,-y,z'
'y,x,-z'
loop_
_atom_site_label
_atom_site_fract_x
_atom_site_fract_y
_atom_site_fract_z
Ca1 0.000 0.500 0.244
Ta1 0.000 0.000 0.500
Si1 0.000 0.000 0.000
Si2 0.000 0.500 0.648
Si3 0.500 0.500 0.000
Ir1 0.000 0.500 0.878
Ir2 0.500 0.500 0.500
```